Entry 1:
The following is a PBEsol calculation of crystalline GdCuSb2 at its relaxed geometry, from the Alexandria database.

It has space group P4/nmm (No. 129, origin choice 2), with a = 4.272 Å, b = 4.272 Å, c = 9.699 Å, α = 90.00°, β = 90.00° and γ = 90.00°. Symmetry generates all atoms from Gd at (0.250, 0.250, 0.248), Cu at (0.250, 0.750, 0.000), Sb at (0.250, 0.250, 0.841) and Sb at (0.250, 0.750, 0.500).

The formation energy (no corrections) is -0.692 eV per atom. As for the volume: 177 Å³/cell. As for the total DFT energy (no corrections): -7.666 eV per atom.



Entry 2:
The following is a PBEsol calculation of crystalline Gd3CuSiSe7 at its relaxed geometry, from the Alexandria database.

It has space group P6_3 (No. 173), with a = 10.2783 Å, b = 10.2783 Å, c = 5.9088 Å, α = 90.00°, β = 90.00° and γ = 120.00°. Symmetry generates all atoms from Gd at (0.1294, 0.3555, 0.0000), Cu at (0.0000, 0.0000, 0.4688), Si at (0.3333, 0.6667, 0.5880), Se at (0.0952, 0.2598, 0.4829), Se at (0.0993, 0.5800, 0.7416) and Se at (0.3333, 0.6667, 0.2069).

The formation energy (no corrections) is -1.368 eV per atom. As for the volume: 541 Å³/cell. As for the total DFT energy (no corrections): -8.066 eV per atom.



Entry 3:
The following is a PBEsol calculation of crystalline SrGdCuSe3 at its relaxed geometry, from the Alexandria database.

It has space group Pnma (No. 62), with a = 10.592 Å, b = 4.053 Å, c = 13.349 Å, α = 90.00°, β = 90.00° and γ = 90.00°. Symmetry generates all atoms from Sr at (0.228, 0.250, 0.000), Gd at (0.015, 0.750, 0.256), Cu at (0.238, 0.750, 0.778), Se at (0.053, 0.750, 0.887), Se at (0.087, 0.250, 0.395) and Se at (0.238, 0.250, 0.672).

The formation energy (no corrections) is -1.574 eV per atom. As for the volume: 573 Å³/cell. As for the total DFT energy (no corrections): -6.936 eV per atom.



Entry 4:
The following is a PBEsol calculation of crystalline GdCuSi at its relaxed geometry, from the Alexandria database.

It has space group P6_3/mmc (No. 194), with a = 4.1111 Å, b = 4.1111 Å, c = 7.5332 Å, α = 90.00°, β = 90.00° and γ = 120.00°. Symmetry generates all atoms from Gd at (0.0000, 0.0000, 0.0000), Cu at (0.3333, 0.6667, 0.2500) and Si at (0.3333, 0.6667, 0.7500).

The formation energy (no corrections) is -0.689 eV per atom. As for the volume: 110 Å³/cell. As for the total DFT energy (no corrections): -8.866 eV per atom.



Entry 5:
The following is a PBEsol calculation of crystalline GdCuSi at its relaxed geometry, from the Alexandria database.

It has space group P-6m2 (No. 187), with a = 4.0480 Å, b = 4.0480 Å, c = 3.9143 Å, α = 90.00°, β = 90.00° and γ = 120.00°. Symmetry generates all atoms from Gd at (0.0000, 0.0000, 0.0000), Cu at (0.6667, 0.3333, 0.5000) and Si at (0.3333, 0.6667, 0.5000).

The formation energy (no corrections) is -0.662 eV per atom. As for the volume: 56 Å³/cell. As for the total DFT energy (no corrections): -8.839 eV per atom.



Entry 6:
The following is a PBEsol calculation of crystalline GdYCu2 at its relaxed geometry, from the Alexandria database.

It has space group Fm-3m (No. 225), with a = 6.861 Å, b = 6.861 Å, c = 6.861 Å, α = 90.00°, β = 90.00° and γ = 90.00°. Symmetry generates all atoms from Gd at (0.000, 0.000, 0.000), Y at (0.000, 0.000, 0.500) and Cu at (0.250, 0.250, 0.250).

As for the volume: 323 Å³/cell. As for the total DFT energy (no corrections): -7.686 eV per atom. As for the calculated formation energy: -201 meV/atom.



Entry 7:
The following is a PBEsol calculation of crystalline Cu5Ge2 at its relaxed geometry, from the Alexandria database.

It has space group R3m (No. 160, hexagonal axes), with a = 4.0567 Å, b = 4.0567 Å, c = 19.3138 Å, α = 90.00°, β = 90.00° and γ = 120.00°. Symmetry generates all atoms from Cu at (0.0000, 0.0000, 0.0000), Cu at (0.0000, 0.0000, 0.1247), Cu at (0.0000, 0.0000, 0.2551), Cu at (0.0000, 0.0000, 0.5090), Cu at (0.0000, 0.0000, 0.6405), Ge at (0.0000, 0.0000, 0.3844) and Ge at (0.0000, 0.0000, 0.8702).

The excess energy over the best structure of this formula in the dataset comes out at 0 meV per atom. As for the volume: 275 Å³/cell. As for the total DFT energy (no corrections): -4.458 eV per atom. As for the calculated formation energy: 48 meV/atom.



Entry 8:
The following is a PBEsol calculation of crystalline Cu5Ge2 at its relaxed geometry, from the Alexandria database.

It has space group R-3m (No. 166, hexagonal axes), with a = 4.0480 Å, b = 4.0480 Å, c = 19.6103 Å, α = 90.00°, β = 90.00° and γ = 120.00°. Symmetry generates all atoms from Cu at (0.0000, 0.0000, 0.0000), Cu at (0.0000, 0.0000, 0.1271), Cu at (0.0000, 0.0000, 0.3791) and Ge at (0.0000, 0.0000, 0.2491).

The excess energy over the best structure of this formula in the dataset comes out at 4 meV per atom. As for the volume: 278 Å³/cell. As for the total DFT energy (no corrections): -4.455 eV per atom. As for the calculated formation energy: 52 meV/atom.



> Which formula does entry 1 have?

GdCuSb2